Compound: BaAl2TcGe
Source: Alexandria via LeMat-Bulk
Functional: PBE
Structure: optimized geometry

Cell and atoms, written as POSCAR:
```
BaAl2TcGe
1.0
4.896 0.000 0.000
0.000 4.896 0.000
0.000 0.000 4.855
Ba Al Tc Ge
1 2 1 1
Direct
0.000 0.000 0.000
0.000 0.500 0.500
0.500 0.000 0.500
0.500 0.500 0.500
0.500 0.500 0.000
```

For the energy of formation from the pure elements, the calculation gives -0.33 eV/atom. The space group is P4/mmm. As for the crystal system: tetragonal. As for the raw total energy: -26.0 eV per cell.

Compound: La3Pr4Nd
Source: Alexandria via LeMat-Bulk
Functional: PBE
Structure: optimized geometry

Cell and atoms, written as POSCAR:
```
La3Pr4Nd
1.0
10.572 0.000 0.000
0.000 7.412 0.000
0.000 0.000 7.414
La Pr Nd
6 8 2
Direct
0.000 0.000 0.000
0.250 0.251 0.250
0.250 0.749 0.750
0.500 0.000 0.500
0.750 0.251 0.250
0.750 0.749 0.750
0.000 0.000 0.500
0.000 0.500 0.000
0.250 0.250 0.750
0.250 0.750 0.250
0.500 0.000 0.000
0.500 0.500 0.500
0.750 0.250 0.750
0.750 0.750 0.250
0.000 0.500 0.500
0.500 0.500 0.000
```

The value obtained for the distance to the lowest polymorph of the same formula is 0 meV per atom. For the energy of formation from the pure elements, the calculation gives 0.01 eV/atom. The space group is Pmna. As for the crystal system: orthorhombic. As for the raw total energy: -77.2 eV per cell.